Entry 1:
First-principles (PBE-GGA) data for an optimized crystal structure of VS2NCl, as listed in the Alexandria database.

ΔE_f (raw): 0.7033 eV/atom
ρ: 2.75 Mg/m³
Electronic total energy: -24.03 eV for the cell shown

Lattice parameters (Å, degrees): 4.5052 4.5052 4.8977 90.00 90.00 90.00
Site moments in Bohr magnetons follow the coordinates.
Fractional positions:
1 N 0.5000 0.5000 0.5000  1.86
2 S 0.0000 0.5000 0.0000  -0.06
3 S 0.5000 0.0000 0.0000  -0.06
4 Cl 0.0000 0.0000 0.5000  0.05
5 V 0.0000 0.0000 0.0000  0.38

***

Entry 2:
First-principles (PBE-GGA) data for an optimized crystal structure of SrPbCl6, as listed in the Alexandria database.

ΔE_f (raw): -1.2790 eV/atom
ρ: 3.41 Mg/m³
Electronic total energy: -26.70 eV for the cell shown

Lattice parameters (Å, degrees): 6.7657 6.7657 7.3659 62.66 62.65 59.99
Fractional positions:
1 Sr 0.5000 0.5000 0.5000
2 Pb 0.0000 0.0000 0.0000
3 Cl 0.0541 0.4031 0.7634
4 Cl 0.7795 0.0541 0.7633
5 Cl 0.5967 0.2206 0.2367
6 Cl 0.2205 0.9459 0.2367
7 Cl 0.9459 0.5969 0.2366
8 Cl 0.4033 0.7794 0.7633

***

Entry 3:
First-principles (PBE-GGA) data for an optimized crystal structure of Hf3Sc2Co2, as listed in the Alexandria database.

Formation energy: -0.08 eV/atom
ρ: 9.21 Mg/m³
Electronic total energy: -57.29 eV for the cell shown

Lattice parameters (Å, degrees): 3.2247 9.3084 5.8303 54.54 73.94 90.01
Fractional positions:
1 Hf 0.0000 0.0000 0.0000
2 Hf 0.8440 0.2966 0.3125
3 Hf 0.1560 0.7034 0.6875
4 Sc 0.3930 0.6326 0.2141
5 Sc 0.6070 0.3674 0.7859
6 Co 0.6494 0.9261 0.7009
7 Co 0.3506 0.0739 0.2991

***

Entry 4:
First-principles (PBE-GGA) data for an optimized crystal structure of CaTi3P, as listed in the Alexandria database.

Formation energy: 1.78 eV/atom
ρ: 3.68 Mg/m³
Electronic total energy: -22.18 eV for the cell shown

Lattice parameters (Å, degrees): 4.5923 4.5923 4.5923 90.00 90.00 90.00
Site moments in Bohr magnetons follow the coordinates.
Fractional positions:
1 P 0.5000 0.5000 0.5000  -0.03
2 Ca 0.0000 0.0000 0.0000  0.05
3 Ti 0.0000 0.5000 0.0000  0.50
4 Ti 0.0000 0.0000 0.5000  0.37
5 Ti 0.5000 0.0000 0.0000  0.59

***

Entry 5:
First-principles (PBE-GGA) data for an optimized crystal structure of NdHo4In, as listed in the Alexandria database.

Formation energy: -0.15 eV/atom
ρ: 8.36 Mg/m³
Electronic total energy: -26.70 eV for the cell shown

Lattice parameters (Å, degrees): 3.5800 3.5800 14.2392 90.00 90.00 90.00
Fractional positions:
1 Nd 0.0000 0.0000 0.0000
2 Ho 0.5000 0.5000 0.1796
3 Ho 0.0000 0.0000 0.6462
4 Ho 0.0000 0.0000 0.3538
5 Ho 0.5000 0.5000 0.8204
6 In 0.5000 0.5000 0.5000

***

Entry 6:
First-principles (PBE-GGA) data for an optimized crystal structure of HoEr3Tm2, as listed in the Alexandria database.

Formation energy: 0.34 eV/atom
ρ: 8.44 Mg/m³
Electronic total energy: -50.39 eV for the cell shown

Lattice parameters (Å, degrees): 5.4942 8.8189 8.8189 112.34 90.00 90.00
Fractional positions:
1 Ho 0.9924 0.7273 0.7273
2 Ho 0.4924 0.2727 0.2727
3 Er 0.9939 0.8884 0.3716
4 Er 0.4939 0.6284 0.1116
5 Er 0.9939 0.3716 0.8884
6 Er 0.4939 0.1116 0.6284
7 Er 0.4918 0.9097 0.9097
8 Er 0.9918 0.0903 0.0903
9 Tm 0.4930 0.7085 0.4913
10 Tm 0.9930 0.5087 0.2915
11 Tm 0.4930 0.4913 0.7085
12 Tm 0.9930 0.2915 0.5087

***

Entry 7:
First-principles (PBE-GGA) data for an optimized crystal structure of Pr2TlGa, as listed in the Alexandria database.

Formation energy: -0.32 eV/atom
ρ: 7.49 Mg/m³
Electronic total energy: -16.25 eV for the cell shown

Lattice parameters (Å, degrees): 3.9050 3.9050 9.6058 78.27 78.27 60.00
Fractional positions:
1 Pr 0.2567 0.2567 0.2298
2 Pr 0.7433 0.7433 0.7702
3 Tl 0.5000 0.5000 0.5000
4 Ga 0.0000 0.0000 0.0000

***

Entry 8:
First-principles (PBE-GGA) data for an optimized crystal structure of AcBeBPt6, as listed in the Alexandria database.

Formation energy: -0.56 eV/atom
ρ: 14.54 Mg/m³
Electronic total energy: -111.56 eV for the cell shown

Lattice parameters (Å, degrees): 7.3218 8.0857 7.7236 121.56 118.29 90.00
Fractional positions:
1 Ac 0.8575 0.6075 0.7151
2 Ac 0.1425 0.3925 0.2849
3 Be 0.5000 0.0000 0.5000
4 Be 0.0000 0.0000 0.5000
5 B 0.5000 0.5000 0.0000
6 B 0.5000 0.0000 0.0000
7 Pt 0.4310 0.6810 0.8620
8 Pt 0.8655 0.1155 0.7310
9 Pt 0.8431 0.0975 0.2519
10 Pt 0.4088 0.6544 0.2519
11 Pt 0.4088 0.0975 0.2519
12 Pt 0.8431 0.6544 0.2519
13 Pt 0.5690 0.3190 0.1380
14 Pt 0.1345 0.8845 0.2690
15 Pt 0.1569 0.9025 0.7481
16 Pt 0.5912 0.3456 0.7481
17 Pt 0.5912 0.9025 0.7481
18 Pt 0.1569 0.3456 0.7481

***

Entry 9:
First-principles (PBE-GGA) data for an optimized crystal structure of CaPa2FeN5, as listed in the Alexandria database.

ΔE_f (raw): -1.1195 eV/atom
ρ: 8.73 Mg/m³
Electronic total energy: -162.32 eV for the cell shown

Lattice parameters (Å, degrees): 6.5759 6.5759 7.2220 117.08 117.08 90.00
Site moments in Bohr magnetons follow the coordinates.
Fractional positions:
1 Ca 0.2500 0.2500 0.5000  0.00
2 Ca 0.7500 0.7500 0.5000  0.00
3 Pa 0.1813 0.3187 0.0000  0.01
4 Pa 0.6813 0.1813 0.0000  0.01
5 Pa 0.3187 0.8187 0.0000  0.01
6 Pa 0.8187 0.6813 0.0000  0.01
7 Fe 0.2500 0.7500 0.5000  0.76
8 Fe 0.7500 0.2500 0.5000  0.76
9 N 0.9952 0.4952 0.2687  0.01
10 N 0.7265 0.2265 0.7313  0.01
11 N 0.0048 0.5048 0.7313  0.01
12 N 0.2265 0.0048 0.7313  0.01
13 N 0.5048 0.7265 0.7313  0.01
14 N 0.7735 0.9952 0.2687  0.01
15 N 0.4952 0.2735 0.2687  0.01
16 N 0.2735 0.7735 0.2687  0.01
17 N 0.5000 0.5000 0.0000  0.01
18 N 0.0000 0.0000 0.0000  0.01

***

Entry 10:
First-principles (PBE-GGA) data for an optimized crystal structure of PrDy2Y8, as listed in the Alexandria database.

Formation energy: 0.14 eV/atom
ρ: 5.22 Mg/m³
Electronic total energy: -64.13 eV for the cell shown

Lattice parameters (Å, degrees): 5.5690 10.2335 10.2335 39.99 92.74 92.74
Fractional positions:
1 Pr 0.0000 0.0000 0.0000
2 Dy 0.7509 0.2844 0.2844
3 Dy 0.2491 0.7156 0.7156
4 Y 0.2687 0.1326 0.6002
5 Y 0.2687 0.6002 0.1326
6 Y 0.7313 0.8674 0.3998
7 Y 0.2372 0.5474 0.5474
8 Y 0.7313 0.3998 0.8674
9 Y 0.2339 0.1886 0.1886
10 Y 0.7661 0.8114 0.8114
11 Y 0.7628 0.4526 0.4526

***

Entry 11:
First-principles (PBE-GGA) data for an optimized crystal structure of Cs4Sm3SnTe8, as listed in the Alexandria database.

ΔE_f (raw): -1.1810 eV/atom
ρ: 5.32 Mg/m³
Electronic total energy: -65.60 eV for the cell shown

Lattice parameters (Å, degrees): 9.2635 10.4010 9.2651 116.48 119.99 90.00
Fractional positions:
1 Cs 0.5000 0.0000 0.0000
2 Cs 0.5000 0.0000 0.5000
3 Cs 0.0000 0.0000 0.0000
4 Cs 0.0000 0.0000 0.5000
5 Sm 0.5000 0.5000 0.0000
6 Sm 0.5000 0.5000 0.5000
7 Sm 0.0000 0.5000 0.5000
8 Sn 0.0000 0.5000 0.0000
9 Te 0.2283 0.6894 0.9613
10 Te 0.2284 0.6895 0.4567
11 Te 0.2686 0.3060 0.5372
12 Te 0.7330 0.6894 0.9613
13 Te 0.2670 0.3106 0.0387
14 Te 0.7314 0.6940 0.4628
15 Te 0.7716 0.3105 0.5433
16 Te 0.7717 0.3106 0.0387

***

Entry 12:
First-principles (PBE-GGA) data for an optimized crystal structure of ZrNiBr2, as listed in the Alexandria database.

ΔE_f (raw): -0.5666 eV/atom
ρ: 5.36 Mg/m³
Electronic total energy: -19.94 eV for the cell shown

Lattice parameters (Å, degrees): 3.3796 3.3796 8.4053 90.00 90.00 90.00
Fractional positions:
1 Br 0.0000 0.0000 0.9174
2 Br 0.5000 0.5000 0.3658
3 Ni 0.0000 0.0000 0.5311
4 Zr 0.5000 0.5000 0.6857

***

Entry 13:
First-principles (PBE-GGA) data for an optimized crystal structure of TcAsAu2, as listed in the Alexandria database.

Formation energy: 0.26 eV/atom
ρ: 12.85 Mg/m³
Electronic total energy: -20.53 eV for the cell shown

Lattice parameters (Å, degrees): 2.8382 2.8382 9.8703 90.00 90.00 112.86
Fractional positions:
1 As 0.5000 0.5000 0.7024
2 Au 0.0000 0.0000 0.0164
3 Au 0.5000 0.5000 0.2685
4 Tc 0.0000 0.0000 0.5128

***

Entry 14:
First-principles (PBE-GGA) data for an optimized crystal structure of NaPmTlCl6, as listed in the Alexandria database.

ΔE_f (raw): -1.6070 eV/atom
ρ: 3.59 Mg/m³
Electronic total energy: -67.96 eV for the cell shown

Lattice parameters (Å, degrees): 7.1068 7.1068 12.3650 90.00 90.00 120.00
Fractional positions:
1 Na 0.6667 0.3333 0.2500
2 Na 0.3333 0.6667 0.7500
3 Pm 0.3333 0.6667 0.2500
4 Pm 0.6667 0.3333 0.7500
5 Tl 0.0000 0.0000 0.0000
6 Tl 0.0000 0.0000 0.5000
7 Cl 0.6514 0.6613 0.1281
8 Cl 0.0099 0.3486 0.1281
9 Cl 0.3486 0.0099 0.6281
10 Cl 0.9901 0.6514 0.8719
11 Cl 0.3387 0.3486 0.3719
12 Cl 0.0099 0.6613 0.3719
13 Cl 0.6613 0.0099 0.8719
14 Cl 0.6514 0.9901 0.3719
15 Cl 0.9901 0.3387 0.6281
16 Cl 0.3387 0.9901 0.1281
17 Cl 0.6613 0.6514 0.6281
18 Cl 0.3486 0.3387 0.8719

***

Entry 15:
First-principles (PBE-GGA) data for an optimized crystal structure of AlPtI3, as listed in the Alexandria database.

ΔE_f (raw): 0.6330 eV/atom
ρ: 6.08 Mg/m³
Electronic total energy: -11.27 eV for the cell shown

Lattice parameters (Å, degrees): 5.4808 5.4808 5.4808 90.00 90.00 90.00
Site moments in Bohr magnetons follow the coordinates.
Fractional positions:
1 I 0.0000 0.5000 0.0000  0.04
2 I 0.0000 0.0000 0.5000  0.02
3 I 0.5000 0.0000 0.0000  0.02
4 Al 0.0000 0.0000 0.0000  0.00
5 Pt 0.5000 0.5000 0.5000  0.58

***

Entry 16:
First-principles (PBE-GGA) data for an optimized crystal structure of CeEr2Mn, as listed in the Alexandria database.

Formation energy: 0.25 eV/atom
ρ: 8.44 Mg/m³
Electronic total energy: -23.23 eV for the cell shown

Lattice parameters (Å, degrees): 4.7660 4.6759 4.6759 90.00 90.00 90.00
Site moments in Bohr magnetons follow the coordinates.
Fractional positions:
1 Mn 0.5000 0.0000 0.0000  3.65
2 Ce 0.5000 0.5000 0.5000  -0.81
3 Er 0.0000 0.0000 0.5000  -0.27
4 Er 0.0000 0.5000 0.0000  -0.27

***

Entry 17:
First-principles (PBE-GGA) data for an optimized crystal structure of PmIn3Ag, as listed in the Alexandria database.

Formation energy: -0.24 eV/atom
ρ: 7.63 Mg/m³
Electronic total energy: -33.99 eV for the cell shown

Lattice parameters (Å, degrees): 4.1093 4.7584 13.5111 100.14 90.00 90.00
Fractional positions:
1 Pm 0.5000 0.8329 0.6659
2 Pm 0.5000 0.1671 0.3341
3 In 0.0000 0.0568 0.1137
4 In 0.0000 0.9432 0.8863
5 In 0.0000 0.2773 0.5547
6 In 0.0000 0.7227 0.4453
7 In 0.5000 0.4471 0.8941
8 In 0.5000 0.5529 0.1059
9 Ag 0.0000 0.6223 0.2446
10 Ag 0.0000 0.3777 0.7554

***

Entry 18:
First-principles (PBE-GGA) data for an optimized crystal structure of BaSrF4, as listed in the Alexandria database.

ΔE_f (raw): -3.8996 eV/atom
ρ: 4.46 Mg/m³
Electronic total energy: -34.49 eV for the cell shown

Lattice parameters (Å, degrees): 4.3002 4.3009 7.4196 73.16 73.16 60.01
Site moments in Bohr magnetons follow the coordinates.
Fractional positions:
1 Ba 0.5000 0.5000 0.5000  0.00
2 Sr 0.0000 0.0000 0.0000  0.00
3 F 0.6295 0.6295 0.1114  0.06
4 F 0.3705 0.3705 0.8886  0.06
5 F 0.1200 0.1199 0.6402  0.00
6 F 0.8800 0.8801 0.3598  0.00

***

Entry 19:
First-principles (PBE-GGA) data for an optimized crystal structure of NpP2OsRu, as listed in the Alexandria database.

Formation energy: -0.58 eV/atom
ρ: 12.31 Mg/m³
Electronic total energy: -47.19 eV for the cell shown

Lattice parameters (Å, degrees): 4.0323 4.0323 5.6652 110.85 110.85 90.00
Site moments in Bohr magnetons follow the coordinates.
Fractional positions:
1 Np 0.0000 0.0000 0.0000  3.66
2 P 0.6236 0.6236 0.2472  0.00
3 P 0.3764 0.3764 0.7528  0.00
4 Os 0.7500 0.2500 0.5000  -0.05
5 Ru 0.2500 0.7500 0.5000  -0.04

***

Entry 20:
First-principles (PBE-GGA) data for an optimized crystal structure of MnSi2, as listed in the Alexandria database.

ΔE_f (raw): 0.2267 eV/atom
ρ: 4.79 Mg/m³
Electronic total energy: -38.67 eV for the cell shown

Lattice parameters (Å, degrees): 4.2638 4.2638 4.8899 90.00 90.00 120.00
Site moments in Bohr magnetons follow the coordinates.
Fractional positions:
1 Mn 0.3333 0.6667 0.2500  1.99
2 Mn 0.6667 0.3333 0.7500  1.99
3 Si 0.0000 0.0000 0.0000  -0.01
4 Si 0.0000 0.0000 0.5000  -0.01
5 Si 0.3333 0.6667 0.7500  -0.04
6 Si 0.6667 0.3333 0.2500  -0.04

***

Entry 21:
First-principles (PBE-GGA) data for an optimized crystal structure of Pm3CdNi, as listed in the Alexandria database.

Formation energy: -0.22 eV/atom
ρ: 7.25 Mg/m³
Electronic total energy: -44.12 eV for the cell shown

Lattice parameters (Å, degrees): 3.8933 9.0557 8.6235 114.01 90.00 90.00
Fractional positions:
1 Pm 0.7500 0.7124 0.3737
2 Pm 0.2500 0.2876 0.6263
3 Pm 0.7500 0.3279 0.9893
4 Pm 0.2500 0.9462 0.7705
5 Pm 0.2500 0.6721 0.0107
6 Pm 0.7500 0.0538 0.2295
7 Cd 0.2500 0.3960 0.3135
8 Cd 0.7500 0.6040 0.6865
9 Ni 0.2500 0.9427 0.4015
10 Ni 0.7500 0.0573 0.5985

***

Entry 22:
First-principles (PBE-GGA) data for an optimized crystal structure of CaEuAgAu, as listed in the Alexandria database.

Formation energy: -0.54 eV/atom
ρ: 7.99 Mg/m³
Electronic total energy: -20.58 eV for the cell shown

Lattice parameters (Å, degrees): 5.2655 5.2655 5.2655 60.00 60.00 60.00
Site moments in Bohr magnetons follow the coordinates.
Fractional positions:
1 Eu 0.2500 0.2500 0.2500  6.83
2 Ca 0.7500 0.7500 0.7500  0.02
3 Au 0.5000 0.5000 0.5000  0.01
4 Ag 0.0000 0.0000 0.0000  0.01

***

Entry 23:
First-principles (PBE-GGA) data for an optimized crystal structure of RbAgI4, as listed in the Alexandria database.

ΔE_f (raw): -0.5474 eV/atom
ρ: 4.00 Mg/m³
Electronic total energy: -13.30 eV for the cell shown

Lattice parameters (Å, degrees): 6.3945 6.3944 8.0931 90.84 90.84 61.52
Fractional positions:
1 Rb 0.5000 0.5000 0.5000
2 Ag 0.0000 0.0000 0.0000
3 I 0.6175 0.6175 0.0801
4 I 0.3825 0.3825 0.9199
5 I 0.1199 0.1198 0.7087
6 I 0.8801 0.8802 0.2913

***

Entry 24:
First-principles (PBE-GGA) data for an optimized crystal structure of Re2AgIr, as listed in the Alexandria database.

Formation energy: 0.50 eV/atom
ρ: 16.95 Mg/m³
Electronic total energy: -34.61 eV for the cell shown

Lattice parameters (Å, degrees): 5.8959 5.8959 5.8959 153.28 134.06 53.94
Fractional positions:
1 Re 0.9622 0.9622 0.0000
2 Re 0.5378 0.5378 0.0000
3 Ir 0.7500 0.2500 0.5000
4 Ag 0.2500 0.7500 0.5000